A plane-wave DFT calculation with PBEsol was carried out for SiSbPbI2 after structural relaxation.

abc: 5.364 5.364 5.442
angles: 90.00 90.00 90.00
Sites, in units of the cell vectors:
Pb: 0.500 0.500 0.500
I: 0.000 0.500 0.000
I: 0.500 0.000 0.000
Si: 0.000 0.000 0.000
Sb: 0.000 0.000 0.500

- Total moment: 0.00 μB per formula unit
- DFT total energy: -3.305 eV per atom
- N(E_F): 3.215 states/eV/f.u.
- Density: 6.479 g cm⁻³
- Formation energy without anion corrections: 1.31 eV/f.u.